[1]
## Tl2SbOs (PBEsol)

Data for crystalline Tl2SbOs at its relaxed geometry.

```
Tl2SbOs
1.0
-0.295 2.212 -4.264
-0.398 -4.777 -0.422
-3.597 1.268 2.934
Sb Tl Os
1 2 1
Cartesian
-1.345 -2.160 -1.715
0.000 0.000 0.000
-2.945 0.862 -0.037
-1.998 -1.755 1.256
```

## Properties
The calculation puts the density of states at the Fermi level at 2.6 states/eV/f.u. Its total magnetization is 0.00 μB per cell.

[2]
## Tl2Sb2Os (PBEsol)

Data for crystalline Tl2Sb2Os at its relaxed geometry.

```
Tl2Sb2Os
1.0
3.857 0.000 0.000
0.000 3.857 0.000
-1.929 -1.929 8.793
Tl Sb Os
2 2 1
Cartesian
0.000 0.000 7.338
1.929 1.929 1.454
0.000 1.929 4.396
1.929 0.000 4.396
0.000 0.000 0.000
```

## Properties
The calculation puts the density of states at the Fermi level at 4.0 states/eV/f.u. Its total magnetization is 0.00 μB per cell.

[3]
## Sb3OsW (PBEsol)

Data for crystalline Sb3OsW at its relaxed geometry.

```
Sb3OsW
1.0
-1.596 3.285 -3.543
-4.282 -2.691 -0.566
-2.239 2.803 3.609
Sb W Os
3 1 1
Cartesian
-0.798 1.643 -1.771
-2.141 -1.345 -0.283
-1.119 1.402 1.804
0.000 0.000 0.000
-4.058 1.699 -0.250
```

## Properties
The calculation puts the density of states at the Fermi level at 7.1 states/eV/f.u. Its total magnetization is 1.85 μB per cell.

[4]
## SbOsW (PBEsol)

Data for crystalline SbOsW at its relaxed geometry.

```
SbOsW
1.0
-1.149 -0.770 2.553
-2.685 -2.866 -2.072
4.000 -1.321 1.401
W Sb Os
1 1 1
Cartesian
-0.840 -2.608 -0.062
0.815 -2.477 2.370
-0.957 -0.642 2.128
```

## Properties
The calculation puts the density of states at the Fermi level at 2.5 states/eV/f.u. Its total magnetization is 0.00 μB per cell.

In eV/cell, the total DFT energy (no corrections) values for the records above are, in order, -18.79; -20.75; -31.01; -28.88.